[1]
Below is a geometry-optimized Y2Mn2V structure, with properties calculated at the PBE level.

extended XYZ file:
```
10
Lattice="6.5044 0.0000 0.0000 0.0000 6.5044 0.0000 0.0000 0.0000 4.7903" Properties=species:S:1:pos:R:3 pbc="T T T"
Y 1.1356 2.1166 0.0000
Y 2.1166 5.3688 0.0000
Y 4.3878 1.1356 0.0000
Y 5.3688 4.3878 0.0000
Mn 0.9126 4.1648 2.3951
Mn 2.3396 0.9126 2.3951
Mn 4.1648 5.5918 2.3951
Mn 5.5918 2.3396 2.3951
V 0.0000 0.0000 2.3951
V 3.2522 3.2522 2.3951
```

Output
volume = 20.27 Å³ per atom
crystal system = tetragonal
total moment = 0.565 μB/atom
energy relative to the elements = 0.221 eV/atom
symmetry = P4/mbm

[2]
Below is a geometry-optimized CuAgCl2 structure, with properties calculated at the PBE level.

extended XYZ file:
```
4
Lattice="3.3275 -2.7533 0.0000 3.3275 2.7533 0.0000 -1.0493 0.0000 5.6809" Properties=species:S:1:pos:R:3 pbc="T T T"
Cu 0.0000 0.0000 0.0000
Ag -0.5246 0.0000 2.8404
Cl 1.5362 0.0000 1.4725
Cl 4.0696 0.0000 4.2084
```

Output
volume = 26.02 Å³ per atom
crystal system = monoclinic
total moment = 0.000 μB/atom
energy relative to the elements, uncorrected = -0.414 eV per atom
symmetry = C2/m

[3]
Below is a geometry-optimized Sm2Y3Os2 structure, with properties calculated at the PBE level.

extended XYZ file:
```
7
Lattice="6.0536 -1.9822 0.0000 6.0536 1.9822 0.0000 -3.3719 0.0000 7.8081" Properties=species:S:1:pos:R:3 pbc="T T T"
Sm 0.9511 0.0000 2.4135
Sm 7.7841 0.0000 5.3946
Y 4.2950 0.0000 0.5640
Y 4.3676 0.0000 3.9040
Y 4.4402 0.0000 7.2441
Os -0.2760 0.0000 5.6062
Os 9.0112 0.0000 2.2019
```

Output
volume = 26.77 Å³ per atom
crystal system = monoclinic
total moment = 0.000 μB/atom
energy relative to the elements = -0.184 eV/atom
symmetry = C2/m

[4]
Below is a geometry-optimized LiSm2PaN4 structure, with properties calculated at the PBE level.

extended XYZ file:
```
16
Lattice="1.7046 -5.6996 0.0000 1.7046 5.6996 0.0000 0.0000 0.0000 11.7708" Properties=species:S:1:pos:R:3 pbc="T T T"
Li 1.7046 3.9540 8.8281
Li 1.7046 -3.9540 2.9427
Sm 1.7046 1.4804 0.6484
Sm 1.7046 1.4804 5.2370
Sm 1.7046 -1.4804 6.5338
Sm 1.7046 -1.4804 11.1224
Pa 1.7046 4.3860 2.9427
Pa 1.7046 -4.3860 8.8281
N 0.0000 0.0000 0.0000
N 0.0000 0.0000 5.8854
N 1.7046 2.4860 7.4635
N 1.7046 2.4860 10.1927
N 1.7046 0.2800 2.9427
N 1.7046 -0.2800 8.8281
N 1.7046 -2.4860 1.5781
N 1.7046 -2.4860 4.3073
```

Output
volume = 14.30 Å³ per atom
crystal system = orthorhombic
total moment = 0.000 μB/atom
energy relative to the elements, uncorrected = -1.247 eV per atom
symmetry = Cmcm

[5]
Below is a geometry-optimized CaReSi2 structure, with properties calculated at the PBE level.

extended XYZ file:
```
4
Lattice="4.0585 -1.6149 0.0000 4.0585 1.6149 0.0000 -3.3586 0.0000 5.7847" Properties=species:S:1:pos:R:3 pbc="T T T"
Ca 0.0000 0.0000 0.0000
Re 4.7195 0.0000 2.7233
Si -1.0375 0.0000 3.7020
Si 2.3425 0.0000 1.8824
```

Output
volume = 18.96 Å³ per atom
crystal system = monoclinic
total moment = 0.000 μB/atom
energy relative to the elements, uncorrected = -0.186 eV per atom
symmetry = Cm

[6]
Below is a geometry-optimized Tm2Be5Ni5 structure, with properties calculated at the PBE level.

extended XYZ file:
```
12
Lattice="3.6917 0.0000 0.0000 0.0000 4.7386 0.0000 0.0000 0.0000 8.3929" Properties=species:S:1:pos:R:3 pbc="T T T"
Tm 0.0000 0.0000 0.0000
Tm 0.0000 2.3693 4.1965
Be 1.8459 0.0000 4.1965
Be 1.8459 1.1875 2.1075
Be 1.8459 1.1875 6.2855
Be 1.8459 3.5511 2.1075
Be 1.8459 3.5511 6.2855
Ni 0.0000 0.0000 2.7925
Ni 0.0000 0.0000 5.6004
Ni 0.0000 2.3693 1.5436
Ni 0.0000 2.3693 6.8493
Ni 1.8459 2.3693 0.0000
```

Output
volume = 12.24 Å³ per atom
crystal system = orthorhombic
total moment = 0.000 μB/atom
energy relative to the elements = -0.399 eV/atom
symmetry = Pmmm

[7]
Below is a geometry-optimized Bi5Pb2O12 structure, with properties calculated at the PBE level.

extended XYZ file:
```
19
Lattice="6.6912 -3.2835 0.0000 6.6912 3.2835 0.0000 -2.4358 0.0000 7.0673" Properties=species:S:1:pos:R:3 pbc="T T T"
Bi 0.0000 0.0000 0.0000
Bi 3.3431 0.0000 1.1130
Bi 2.6257 0.0000 4.7881
Bi 8.3208 0.0000 2.2792
Bi 7.6034 0.0000 5.9543
Pb 5.4733 1.6543 3.5337
Pb 5.4733 -1.6543 3.5337
O -1.5613 0.0000 4.9440
O 2.6231 1.8355 6.3577
O 3.3874 1.4046 2.9083
O 8.3234 1.8355 0.7096
O 7.5592 1.4046 4.1590
O 4.9145 0.0000 4.9517
O 6.0320 0.0000 2.1156
O 3.3874 -1.4046 2.9083
O 2.6231 -1.8355 6.3577
O 7.5592 -1.4046 4.1590
O 8.3234 -1.8355 0.7096
O 12.5079 0.0000 2.1234
```

Output
volume = 16.34 Å³ per atom
crystal system = monoclinic
total moment = 0.000 μB/atom
energy relative to the elements, uncorrected = -1.041 eV per atom
symmetry = C2/m

[8]
Below is a geometry-optimized MgZnAs2 structure, with properties calculated at the PBE level.

extended XYZ file:
```
4
Lattice="3.8231 0.0000 0.0000 0.0000 3.8231 0.0000 0.0000 0.0000 5.4237" Properties=species:S:1:pos:R:3 pbc="T T T"
Mg 0.0000 0.0000 0.0000
Zn 1.9115 1.9115 2.7069
As 0.0000 0.0000 2.7113
As 1.9115 1.9115 5.4181
```

Output
volume = 19.82 Å³ per atom
crystal system = tetragonal
total moment = 0.000 μB/atom
energy relative to the elements = -0.078 eV/atom
ΔE to the lowest computed polymorph = 22 meV per atom
symmetry = P4mm

Look up the total moment of the first one. 0.565 μB/atom